LiTi4F12 | PBE | relaxed

Computed properties:
E_tot in eV/atom: -6.49
SG: No. 71
Total magnetization in μB/cell: 5.00
Crystal system: orthorhombic

Lattice parameters (Å, degrees): 6.7481 6.7481 6.7481 109.91 109.29 109.22
With the nearest neighbours (Å) after each atom.
Sites, in units of the cell vectors:
Li 0.0000 0.0000 0.0000  4 F 2.05
Ti 0.0000 0.0000 0.5000  6 F 1.99-2.07
Ti 0.0000 0.5000 0.0000  6 F 1.99-2.07
Ti 0.5000 0.0000 0.0000  6 F 1.99-2.07
Ti 0.5000 0.5000 0.5000  6 F 1.99-2.07
F 0.0010 0.1857 0.8154  1 Li 2.05, 2 Ti 2.07
F 0.2469 0.2962 0.5431  2 Ti 1.99
F 0.2469 0.7038 0.9507  2 Ti 1.99
F 0.2585 0.5542 0.2957  2 Ti 1.99
F 0.2585 0.9628 0.7043  2 Ti 1.99
F 0.3703 0.1857 0.1846  1 Li 2.05, 2 Ti 2.07
F 0.6297 0.8143 0.8154  1 Li 2.05, 2 Ti 2.07
F 0.7415 0.0372 0.2957  2 Ti 1.99
F 0.7415 0.4458 0.7043  2 Ti 1.99
F 0.7531 0.2962 0.0493  2 Ti 1.99
F 0.7531 0.7038 0.4569  2 Ti 1.99
F 0.9990 0.8143 0.1846  1 Li 2.05, 2 Ti 2.07